[1]
Here is a relaxed structure of LiAcSnH from Alexandria via LeMat-Bulk. Energies are from PBE.

Properties
The raw total energy is -3.882 eV per atom. The total magnetization is 0.00 μB per formula unit. Its volume is 21.27 Å³ per atom. Its symmetry is P-6m2 (187).

a = 4.8627 Å, b = 4.8624 Å, c = 4.1548 Å
α = 90.01°, β = 90.00°, γ = 120.00°
Sites, in units of the cell vectors:
Li (0.2387, 0.4774, 0.8101)
Ac (0.5719, 0.1437, 0.3097)
Sn (0.9053, 0.8105, 0.8097)
H (0.2385, 0.4770, 0.3097)


[2]
Here is a relaxed structure of Li2Ac2Tl2H from Alexandria via LeMat-Bulk. Energies are from PBE.

Properties
The raw total energy is -3.167 eV per atom. The total magnetization is 0.00 μB per formula unit. Its volume is 25.75 Å³ per atom. Its symmetry is I4/mmm (139).

a = 4.8988 Å, b = 4.8988 Å, c = 8.2717 Å
α = 107.22°, β = 107.22°, γ = 90.00°
Sites, in units of the cell vectors:
Li (0.0000, 0.5000, 0.0000)
Li (0.5000, 0.0000, 0.0000)
Ac (0.1663, 0.1663, 0.3325)
Ac (0.8337, 0.8337, 0.6675)
Tl (0.3927, 0.3927, 0.7854)
Tl (0.6073, 0.6073, 0.2146)
H (0.0000, 0.0000, 0.0000)


[3]
Here is a relaxed structure of Li5Ac2Tl3H2 from Alexandria via LeMat-Bulk. Energies are from PBE.

Properties
The raw total energy is -2.887 eV per atom. The total magnetization is 0.00 μB per formula unit. Its volume is 21.20 Å³ per atom. Its symmetry is I4/mmm (139).

a = 4.7388 Å, b = 4.7388 Å, c = 11.8159 Å
α = 101.57°, β = 101.57°, γ = 90.00°
Sites, in units of the cell vectors:
Li (0.5748, 0.0748, 0.1496)
Li (0.4252, 0.9252, 0.8504)
Li (0.0748, 0.5748, 0.1496)
Li (0.9252, 0.4252, 0.8504)
Li (0.5000, 0.5000, 0.0000)
Ac (0.6932, 0.6932, 0.3864)
Ac (0.3068, 0.3068, 0.6136)
Tl (0.1516, 0.1516, 0.3033)
Tl (0.8484, 0.8484, 0.6967)
Tl (0.0000, 0.0000, 0.0000)
H (0.4165, 0.4165, 0.8330)
H (0.5835, 0.5835, 0.1670)


[4]
Here is a relaxed structure of AcLu2H from Alexandria via LeMat-Bulk. Energies are from PBE.

Properties
The raw total energy is -4.101 eV per atom. The total magnetization is 0.00 μB per formula unit. Its volume is 26.27 Å³ per atom. Its symmetry is R-3m (166).

a = 3.5465 Å, b = 3.5465 Å, c = 9.8618 Å
α = 79.64°, β = 79.64°, γ = 60.00°
Sites, in units of the cell vectors:
H (0.5000, 0.5000, 0.5000)
Ac (0.0000, 0.0000, 0.0000)
Lu (0.1226, 0.1226, 0.6322)
Lu (0.8774, 0.8774, 0.3678)


[5]
Here is a relaxed structure of Ac2LuH from Alexandria via LeMat-Bulk. Energies are from PBE.

Properties
The raw total energy is -3.856 eV per atom. The total magnetization is 0.00 μB per formula unit. Its volume is 30.15 Å³ per atom. Its symmetry is P4/mmm (123).

a = 3.6824 Å, b = 3.6824 Å, c = 8.8927 Å
α = 90.00°, β = 90.00°, γ = 90.00°
Sites, in units of the cell vectors:
H (0.5000, 0.5000, 0.0000)
Ac (0.0000, 0.0000, 0.7991)
Ac (0.0000, 0.0000, 0.2009)
Lu (0.5000, 0.5000, 0.5000)


[6]
Here is a relaxed structure of AcLuH from Alexandria via LeMat-Bulk. Energies are from PBE.

Properties
Its energy above the most stable polymorph in this dataset is 0.093 eV/atom. The total magnetization is 0.00 μB per formula unit. Its volume is 27.19 Å³ per atom. Its symmetry is I4mm (107).

a = 3.6264 Å, b = 3.6264 Å, c = 6.7109 Å
α = 105.68°, β = 105.68°, γ = 90.00°
Sites, in units of the cell vectors:
H (0.2146, 0.2146, 0.4291)
Ac (0.7461, 0.7461, 0.4922)
Lu (0.0393, 0.0393, 0.0787)


[7]
Here is a relaxed structure of AcLuH from Alexandria via LeMat-Bulk. Energies are from PBE.

Properties
Its energy above the most stable polymorph in this dataset is 0.000 eV/atom. The total magnetization is 0.00 μB per formula unit. Its volume is 24.26 Å³ per atom. Its symmetry is P3m1 (156).

a = 3.7389 Å, b = 3.7389 Å, c = 6.0104 Å
α = 90.00°, β = 90.00°, γ = 120.00°
Sites, in units of the cell vectors:
H (0.3333, 0.6667, 0.6329)
Ac (0.0000, 0.0000, 0.9278)
Lu (0.6667, 0.3333, 0.4393)


[8]
Here is a relaxed structure of AcLu3H from Alexandria via LeMat-Bulk. Energies are from PBE.

Properties
The raw total energy is -4.286 eV per atom. The total magnetization is 0.00 μB per formula unit. Its volume is 25.58 Å³ per atom. Its symmetry is Pm-3m (221).

a = 5.0383 Å, b = 5.0383 Å, c = 5.0383 Å
α = 90.00°, β = 90.00°, γ = 90.00°
Sites, in units of the cell vectors:
H (0.0000, 0.0000, 0.0000)
Ac (0.5000, 0.5000, 0.5000)
Lu (0.0000, 0.5000, 0.0000)
Lu (0.0000, 0.0000, 0.5000)
Lu (0.5000, 0.0000, 0.0000)


[9]
Here is a relaxed structure of Ac3Lu5H12 from Alexandria via LeMat-Bulk. Energies are from PBE.

Properties
The raw total energy is -4.154 eV per atom. The total magnetization is 0.00 μB per formula unit. Its volume is 15.27 Å³ per atom. Its symmetry is Ia-3d (230).

a = 11.6651 Å, b = 11.6651 Å, c = 11.6651 Å
α = 109.47°, β = 109.47°, γ = 109.47°
Sites, in units of the cell vectors:
Ac (0.7500, 0.3750, 0.1250)
Ac (0.8750, 0.7500, 0.1250)
Ac (0.3750, 0.7500, 0.6250)
Ac (0.2500, 0.1250, 0.3750)
Ac (0.8750, 0.1250, 0.2500)
Ac (0.3750, 0.6250, 0.2500)
Ac (0.6250, 0.3750, 0.7500)
Ac (0.1250, 0.8750, 0.7500)
Ac (0.7500, 0.8750, 0.6250)
Ac (0.6250, 0.2500, 0.3750)
Ac (0.1250, 0.2500, 0.8750)
Ac (0.2500, 0.6250, 0.8750)
Lu (0.1250, 0.3750, 0.2500)
Lu (0.0000, 0.5000, 0.0000)
Lu (0.0000, 0.0000, 0.0000)
Lu (0.3750, 0.2500, 0.1250)
Lu (0.5000, 0.0000, 0.5000)
Lu (0.5000, 0.5000, 0.0000)
Lu (0.1250, 0.7500, 0.3750)
Lu (0.7500, 0.1250, 0.8750)
Lu (0.7500, 0.6250, 0.3750)
Lu (0.3750, 0.1250, 0.7500)
Lu (0.6250, 0.8750, 0.2500)
Lu (0.5000, 0.5000, 0.5000)
Lu (0.5000, 0.0000, 0.0000)
Lu (0.0000, 0.0000, 0.5000)
Lu (0.2500, 0.3750, 0.6250)
Lu (0.2500, 0.8750, 0.1250)
Lu (0.0000, 0.5000, 0.5000)
Lu (0.8750, 0.2500, 0.6250)
Lu (0.6250, 0.7500, 0.8750)
Lu (0.8750, 0.6250, 0.7500)
H (0.7088, 0.1306, 0.0444)
H (0.3356, 0.5444, 0.4138)
H (0.9556, 0.3694, 0.2912)
H (0.5444, 0.2088, 0.1306)
H (0.5782, 0.7088, 0.6644)
H (0.9556, 0.5862, 0.1644)
H (0.3356, 0.7912, 0.4218)
H (0.0862, 0.9218, 0.1306)
H (0.5862, 0.9556, 0.6644)
H (0.7088, 0.5782, 0.1644)
H (0.7912, 0.4556, 0.3694)
H (0.8356, 0.9138, 0.0444)
H (0.1306, 0.7088, 0.5444)
H (0.3694, 0.4138, 0.0782)
H (0.0782, 0.9138, 0.3694)
H (0.4218, 0.1306, 0.5862)
H (0.0782, 0.1644, 0.2088)
H (0.4556, 0.6644, 0.0862)
H (0.8356, 0.9218, 0.2912)
H (0.1306, 0.4218, 0.0862)
H (0.3694, 0.9556, 0.7912)
H (0.5862, 0.6306, 0.4218)
H (0.9138, 0.8356, 0.5444)
H (0.7912, 0.3356, 0.9218)
H (0.4138, 0.3694, 0.5782)
H (0.0862, 0.1644, 0.4556)
H (0.2088, 0.6644, 0.0782)
H (0.1644, 0.0782, 0.7088)
H (0.6306, 0.0444, 0.2088)
H (0.8694, 0.5782, 0.9138)
H (0.5444, 0.3356, 0.9138)
H (0.5782, 0.8694, 0.4138)
H (0.9218, 0.8356, 0.7912)
H (0.9218, 0.0862, 0.6306)
H (0.8694, 0.2912, 0.4556)
H (0.1644, 0.0862, 0.9556)
H (0.6306, 0.5862, 0.9218)
H (0.4138, 0.0444, 0.3356)
H (0.2912, 0.4218, 0.8356)
H (0.2088, 0.5444, 0.6306)
H (0.9138, 0.0782, 0.8694)
H (0.6644, 0.2088, 0.5782)
H (0.4556, 0.7912, 0.8694)
H (0.0444, 0.4138, 0.8356)
H (0.4218, 0.2912, 0.3356)
H (0.0444, 0.6306, 0.7088)
H (0.6644, 0.4556, 0.5862)
H (0.2912, 0.8694, 0.9556)


[10]
Here is a relaxed structure of AcMg4H12 from Alexandria via LeMat-Bulk. Energies are from PBE.

Properties
The raw total energy is -3.105 eV per atom. The total magnetization is 0.00 μB per formula unit. Its volume is 13.51 Å³ per atom. Its symmetry is Im-3 (204).

a = 6.6812 Å, b = 6.6812 Å, c = 6.6812 Å
α = 109.47°, β = 109.47°, γ = 109.47°
Sites, in units of the cell vectors:
Ac (0.0000, 0.0000, 0.0000)
Mg (0.0000, 0.5000, 0.0000)
Mg (0.5000, 0.0000, 0.0000)
Mg (0.5000, 0.5000, 0.5000)
Mg (0.0000, 0.0000, 0.5000)
H (0.7837, 0.2439, 0.0276)
H (0.2439, 0.4602, 0.2163)
H (0.9724, 0.2163, 0.7561)
H (0.2439, 0.0276, 0.7837)
H (0.0276, 0.7837, 0.2439)
H (0.7561, 0.5398, 0.7837)
H (0.4602, 0.2163, 0.2439)
H (0.5398, 0.7837, 0.7561)
H (0.7561, 0.9724, 0.2163)
H (0.7837, 0.7561, 0.5398)
H (0.2163, 0.2439, 0.4602)
H (0.2163, 0.7561, 0.9724)


[11]
Here is a relaxed structure of AcMgH4 from Alexandria via LeMat-Bulk. Energies are from PBE.

Properties
The raw total energy is -3.493 eV per atom. The total magnetization is 0.00 μB per formula unit. Its volume is 13.34 Å³ per atom. Its symmetry is C2/c (15).

a = 4.2197 Å, b = 6.2218 Å, c = 7.0901 Å
α = 113.65°, β = 104.01°, γ = 97.26°
Sites, in units of the cell vectors:
Ac (0.3799, 0.1299, 0.7598)
Ac (0.6201, 0.8701, 0.2402)
Mg (0.1503, 0.4003, 0.3006)
Mg (0.8497, 0.5997, 0.6994)
H (0.2247, 0.8556, 0.9172)
H (0.6925, 0.5616, 0.9172)
H (0.1546, 0.7514, 0.3744)
H (0.8454, 0.2486, 0.6256)
H (0.7802, 0.8770, 0.6256)
H (0.3075, 0.4384, 0.0828)
H (0.2198, 0.1230, 0.3744)
H (0.7753, 0.1444, 0.0828)


[12]
Here is a relaxed structure of AcMgH5 from Alexandria via LeMat-Bulk. Energies are from PBE.

Properties
The raw total energy is -3.547 eV per atom. The total magnetization is 0.00 μB per formula unit. Its volume is 10.81 Å³ per atom. Its symmetry is C2/c (15).

a = 4.8630 Å, b = 4.8630 Å, c = 7.4779 Å
α = 100.31°, β = 102.10°, γ = 113.73°
Sites, in units of the cell vectors:
Ac (0.7500, 0.5000, 0.2500)
Ac (0.2500, 0.5000, 0.7500)
Mg (0.0000, 0.0000, 0.0000)
Mg (0.5000, 0.0000, 0.5000)
H (0.6467, 0.9012, 0.0855)
H (0.1448, 0.8976, 0.5839)
H (0.6844, 0.4388, 0.5855)
H (0.2503, 0.0003, 0.2500)
H (0.8137, 0.5609, 0.9161)
H (0.1863, 0.4391, 0.0839)
H (0.7497, 0.9997, 0.7500)
H (0.3156, 0.5612, 0.4145)
H (0.8552, 0.1024, 0.4161)
H (0.3533, 0.0988, 0.9145)


[13]
Here is a relaxed structure of AcMg2H7 from Alexandria via LeMat-Bulk. Energies are from PBE.

Properties
The raw total energy is -3.359 eV per atom. The total magnetization is 0.00 μB per formula unit. Its volume is 11.17 Å³ per atom. Its symmetry is Cmmm (65).

a = 3.7409 Å, b = 5.7313 Å, c = 5.7313 Å
α = 114.58°, β = 90.00°, γ = 90.00°
Sites, in units of the cell vectors:
Ac (0.0000, 0.0000, 0.0000)
Mg (0.5000, 0.6912, 0.3088)
Mg (0.5000, 0.3088, 0.6912)
H (0.0000, 0.7343, 0.2657)
H (0.0000, 0.2657, 0.7343)
H (0.5000, 0.0471, 0.3080)
H (0.5000, 0.9529, 0.6920)
H (0.5000, 0.3080, 0.0471)
H (0.5000, 0.6920, 0.9529)
H (0.5000, 0.5000, 0.5000)


[14]
Here is a relaxed structure of Ac3Mg5H12 from Alexandria via LeMat-Bulk. Energies are from PBE.

Properties
The raw total energy is -3.221 eV per atom. The total magnetization is 0.00 μB per formula unit. Its volume is 13.86 Å³ per atom. Its symmetry is Ia-3d (230).

a = 11.2923 Å, b = 11.2923 Å, c = 11.2923 Å
α = 109.47°, β = 109.47°, γ = 109.47°
Sites, in units of the cell vectors:
Ac (0.7500, 0.3750, 0.1250)
Ac (0.8750, 0.7500, 0.1250)
Ac (0.3750, 0.7500, 0.6250)
Ac (0.2500, 0.1250, 0.3750)
Ac (0.8750, 0.1250, 0.2500)
Ac (0.3750, 0.6250, 0.2500)
Ac (0.6250, 0.3750, 0.7500)
Ac (0.1250, 0.8750, 0.7500)
Ac (0.7500, 0.8750, 0.6250)
Ac (0.6250, 0.2500, 0.3750)
Ac (0.1250, 0.2500, 0.8750)
Ac (0.2500, 0.6250, 0.8750)
Mg (0.1250, 0.3750, 0.2500)
Mg (0.0000, 0.5000, 0.0000)
Mg (0.0000, 0.0000, 0.0000)
Mg (0.3750, 0.2500, 0.1250)
Mg (0.5000, 0.0000, 0.5000)
Mg (0.5000, 0.5000, 0.0000)
Mg (0.1250, 0.7500, 0.3750)
Mg (0.7500, 0.1250, 0.8750)
Mg (0.7500, 0.6250, 0.3750)
Mg (0.3750, 0.1250, 0.7500)
Mg (0.6250, 0.8750, 0.2500)
Mg (0.5000, 0.5000, 0.5000)
Mg (0.5000, 0.0000, 0.0000)
Mg (0.0000, 0.0000, 0.5000)
Mg (0.2500, 0.3750, 0.6250)
Mg (0.2500, 0.8750, 0.1250)
Mg (0.0000, 0.5000, 0.5000)
Mg (0.8750, 0.2500, 0.6250)
Mg (0.6250, 0.7500, 0.8750)
Mg (0.8750, 0.6250, 0.7500)
H (0.7040, 0.1200, 0.0283)
H (0.3243, 0.5283, 0.4083)
H (0.9717, 0.3800, 0.2960)
H (0.5283, 0.2040, 0.1200)
H (0.5840, 0.7040, 0.6757)
H (0.9717, 0.5917, 0.1757)
H (0.3243, 0.7960, 0.4160)
H (0.0917, 0.9160, 0.1200)
H (0.5917, 0.9717, 0.6757)
H (0.7040, 0.5840, 0.1757)
H (0.7960, 0.4717, 0.3800)
H (0.8243, 0.9083, 0.0283)
H (0.1200, 0.7040, 0.5283)
H (0.3800, 0.4083, 0.0840)
H (0.0840, 0.9083, 0.3800)
H (0.4160, 0.1200, 0.5917)
H (0.0840, 0.1757, 0.2040)
H (0.4717, 0.6757, 0.0917)
H (0.8243, 0.9160, 0.2960)
H (0.1200, 0.4160, 0.0917)
H (0.3800, 0.9717, 0.7960)
H (0.5917, 0.6200, 0.4160)
H (0.9083, 0.8243, 0.5283)
H (0.7960, 0.3243, 0.9160)
H (0.4083, 0.3800, 0.5840)
H (0.0917, 0.1757, 0.4717)
H (0.2040, 0.6757, 0.0840)
H (0.1757, 0.0840, 0.7040)
H (0.6200, 0.0283, 0.2040)
H (0.8800, 0.5840, 0.9083)
H (0.5283, 0.3243, 0.9083)
H (0.5840, 0.8800, 0.4083)
H (0.9160, 0.8243, 0.7960)
H (0.9160, 0.0917, 0.6200)
H (0.8800, 0.2960, 0.4717)
H (0.1757, 0.0917, 0.9717)
H (0.6200, 0.5917, 0.9160)
H (0.4083, 0.0283, 0.3243)
H (0.2960, 0.4160, 0.8243)
H (0.2040, 0.5283, 0.6200)
H (0.9083, 0.0840, 0.8800)
H (0.6757, 0.2040, 0.5840)
H (0.4717, 0.7960, 0.8800)
H (0.0283, 0.4083, 0.8243)
H (0.4160, 0.2960, 0.3243)
H (0.0283, 0.6200, 0.7040)
H (0.6757, 0.4717, 0.5917)
H (0.2960, 0.8800, 0.9717)


[15]
Here is a relaxed structure of AcMg2H8 from Alexandria via LeMat-Bulk. Energies are from PBE.

Properties
The raw total energy is -3.144 eV per atom. The total magnetization is 0.00 μB per formula unit. Its volume is 9.46 Å³ per atom. Its symmetry is P-3m1 (164).

a = 4.3628 Å, b = 4.3628 Å, c = 6.3131 Å
α = 90.00°, β = 90.00°, γ = 120.00°
Sites, in units of the cell vectors:
Ac (0.0000, 0.0000, 0.0000)
Mg (0.3333, 0.6667, 0.6077)
Mg (0.6667, 0.3333, 0.3923)
H (0.3228, 0.1614, 0.6566)
H (0.8386, 0.6772, 0.6566)
H (0.8386, 0.1614, 0.6566)
H (0.3333, 0.6667, 0.9194)
H (0.6667, 0.3333, 0.0806)
H (0.6772, 0.8386, 0.3434)
H (0.1614, 0.3228, 0.3434)
H (0.1614, 0.8386, 0.3434)


[16]
Here is a relaxed structure of Ac2MgH from Alexandria via LeMat-Bulk. Energies are from PBE.

Properties
Its energy above the most stable polymorph in this dataset is 0.000 eV/atom. The total magnetization is 0.00 μB per formula unit. Its volume is 31.71 Å³ per atom. Its symmetry is R-3m (166).

a = 3.7767 Å, b = 3.7767 Å, c = 10.4977 Å
α = 79.64°, β = 79.64°, γ = 60.00°
Sites, in units of the cell vectors:
H (0.5000, 0.5000, 0.5000)
Ac (0.1145, 0.1145, 0.6565)
Ac (0.8855, 0.8855, 0.3435)
Mg (0.0000, 0.0000, 0.0000)


[17]
Here is a relaxed structure of Ac2MgH from Alexandria via LeMat-Bulk. Energies are from PBE.

Properties
Its energy above the most stable polymorph in this dataset is 0.009 eV/atom. The total magnetization is 0.00 μB per formula unit. Its volume is 28.44 Å³ per atom. Its symmetry is P4/mmm (123).

a = 3.6911 Å, b = 3.6911 Å, c = 8.3513 Å
α = 90.00°, β = 90.00°, γ = 90.00°
Sites, in units of the cell vectors:
H (0.5000, 0.5000, 0.0000)
Ac (0.0000, 0.0000, 0.7844)
Ac (0.0000, 0.0000, 0.2156)
Mg (0.5000, 0.5000, 0.5000)